[1]
DFT (PBE) results for Be2GaBi after structural relaxation.

Unit cell a=4.639 b=4.639 c=4.639 alpha=60.00 beta=60.00 gamma=60.00
Atoms (fractional coordinates):
Be 0.250 0.250 0.250
Be 0.750 0.750 0.750
Bi 0.500 0.500 0.500
Ga 0.000 0.000 0.000

Summary:
Energy relative to the lowest polymorph listed for this composition in eV per atom: 0.013

[2]
DFT (PBE) results for Be2GaBi after structural relaxation.

Unit cell a=6.368 b=6.368 c=6.004 alpha=57.97 beta=57.97 gamma=90.00
Atoms (fractional coordinates):
Be 0.602 0.125 0.250
Be 0.148 0.625 0.250
Be 0.375 0.398 0.750
Be 0.875 0.852 0.750
Bi 0.000 0.000 0.000
Bi 0.750 0.250 0.500
Ga 0.500 0.500 0.000
Ga 0.250 0.750 0.500

Summary:
Energy relative to the lowest polymorph listed for this composition in eV per atom: 0.000

[3]
DFT (PBE) results for BeGaBi2 after structural relaxation.

Unit cell a=4.215 b=4.215 c=8.422 alpha=75.51 beta=75.51 gamma=60.00
Atoms (fractional coordinates):
Be 0.000 0.000 0.000
Bi 0.101 0.101 0.698
Bi 0.899 0.899 0.302
Ga 0.500 0.500 0.500

Summary:
Energy relative to the lowest polymorph listed for this composition in eV per atom: 0.387

[4]
DFT (PBE) results for BeGaBi2 after structural relaxation.

Unit cell a=5.972 b=5.972 c=7.689 alpha=67.15 beta=67.15 gamma=90.00
Atoms (fractional coordinates):
Be 0.500 0.500 0.000
Be 0.250 0.750 0.500
Bi 0.587 0.125 0.250
Bi 0.163 0.625 0.250
Bi 0.375 0.413 0.750
Bi 0.875 0.837 0.750
Ga 0.000 0.000 0.000
Ga 0.750 0.250 0.500

Summary:
Energy relative to the lowest polymorph listed for this composition in eV per atom: 0.000

[5]
DFT (PBE) results for BeGaBi2 after structural relaxation.

Unit cell a=5.112 b=5.112 c=5.112 alpha=60.00 beta=60.00 gamma=60.00
Atoms (fractional coordinates):
Be 0.000 0.000 0.000
Bi 0.250 0.250 0.250
Bi 0.750 0.750 0.750
Ga 0.500 0.500 0.500

Summary:
Energy relative to the lowest polymorph listed for this composition in eV per atom: 0.244

[6]
DFT (PBE) results for BeGaBi2Mo after structural relaxation.

Unit cell a=5.082 b=4.537 c=5.082 alpha=90.00 beta=90.00 gamma=90.00
Site moments in Bohr magnetons follow the coordinates.
Atoms (fractional coordinates):
Be 0.000 0.000 0.000  0.00
Mo 0.000 0.500 0.000  2.25
Bi 0.000 0.000 0.500  -0.05
Bi 0.500 0.000 0.000  -0.07
Ga 0.500 0.500 0.500  0.01

Summary:
Total energy in eV/atom: -4.2277

[7]
DFT (PBE) results for BeGaNiBi2 after structural relaxation.

Unit cell a=5.430 b=4.393 c=5.430 alpha=90.00 beta=90.00 gamma=90.00
Atoms (fractional coordinates):
Ni 0.000 0.500 0.000
Bi 0.000 0.000 0.500
Bi 0.500 0.000 0.000
Ga 0.000 0.000 0.000
Be 0.500 0.500 0.500

Summary:
Total energy in eV/atom: -3.0484

[8]
DFT (PBE) results for BeGaBiPd2 after structural relaxation.

Unit cell a=5.140 b=5.335 c=5.140 alpha=90.00 beta=90.00 gamma=90.00
Atoms (fractional coordinates):
Be 0.500 0.500 0.500
Ga 0.000 0.500 0.000
Bi 0.000 0.000 0.000
Pd 0.000 0.000 0.500
Pd 0.500 0.000 0.000

Summary:
Total energy in eV/atom: -3.1145

[9]
DFT (PBE) results for BeGaBiRu2 after structural relaxation.

Unit cell a=4.679 b=4.067 c=4.679 alpha=90.00 beta=90.00 gamma=90.00
Atoms (fractional coordinates):
Ru 0.000 0.000 0.500
Ru 0.500 0.000 0.000
Bi 0.500 0.500 0.500
Ga 0.000 0.000 0.000
Be 0.000 0.500 0.000

Summary:
Total energy in eV/atom: -5.0509

[10]
DFT (PBE) results for BeGe2Bi after structural relaxation.

Unit cell a=4.916 b=4.916 c=4.916 alpha=60.00 beta=60.00 gamma=60.00
Atoms (fractional coordinates):
Be 0.000 0.000 0.000
Ge 0.250 0.250 0.250
Ge 0.750 0.750 0.750
Bi 0.500 0.500 0.500

Summary:
Energy relative to the lowest polymorph listed for this composition in eV per atom: 0.379

[11]
DFT (PBE) results for BeGe3Bi after structural relaxation.

Unit cell a=5.529 b=5.529 c=5.529 alpha=90.00 beta=90.00 gamma=90.00
Atoms (fractional coordinates):
Be 0.500 0.500 0.500
Ge 0.000 0.500 0.000
Ge 0.000 0.000 0.500
Ge 0.500 0.000 0.000
Bi 0.000 0.000 0.000

Summary:
Energy relative to the lowest polymorph listed for this composition in eV per atom: 1.186

[12]
DFT (PBE) results for Be3GeBi after structural relaxation.

Unit cell a=4.418 b=4.418 c=4.418 alpha=90.00 beta=90.00 gamma=90.00
Atoms (fractional coordinates):
Be 0.000 0.500 0.000
Be 0.000 0.000 0.500
Be 0.500 0.000 0.000
Ge 0.000 0.000 0.000
Bi 0.500 0.500 0.500

Summary:
Energy relative to the lowest polymorph listed for this composition in eV per atom: 0.000

[13]
DFT (PBE) results for BeGe3Bi after structural relaxation.

Unit cell a=4.674 b=4.674 c=4.674 alpha=90.00 beta=90.00 gamma=90.00
Atoms (fractional coordinates):
Be 0.000 0.000 0.000
Ge 0.000 0.500 0.000
Ge 0.000 0.000 0.500
Ge 0.500 0.000 0.000
Bi 0.500 0.500 0.500

Summary:
Energy relative to the lowest polymorph listed for this composition in eV per atom: 0.000

[14]
DFT (PBE) results for BeGe2Bi after structural relaxation.

Unit cell a=5.446 b=5.446 c=7.521 alpha=68.77 beta=68.77 gamma=90.00
Atoms (fractional coordinates):
Be 0.500 0.500 0.000
Be 0.250 0.750 0.500
Ge 0.527 0.125 0.250
Ge 0.223 0.625 0.250
Ge 0.375 0.473 0.750
Ge 0.875 0.777 0.750
Bi 0.000 0.000 0.000
Bi 0.750 0.250 0.500

Summary:
Energy relative to the lowest polymorph listed for this composition in eV per atom: 0.000